Material: SrNdIn
Method: DFT, PBE
State: optimized geometry

## Properties
The calculation puts the calculated volume at 217.54 Å³/cell. As for the energy: -3.306 eV/atom. The formation energy is -0.24 eV per atom. For the density of states at the Fermi level, the calculation gives 5.56 states/eV per cell. The excess energy over the best structure of this formula in the dataset is 94 meV per atom.

CIF file:
```
data_SrNdIn
_chemical_formula_sum 'Sr2 Nd2 In2'
_cell_length_a 3.9239
_cell_length_b 3.9239
_cell_length_c 14.1287
_cell_angle_alpha 90.00
_cell_angle_beta 90.00
_cell_angle_gamma 90.00
_space_group_name_H-M_alt 'I 4 m m'
_space_group_IT_number 107
_space_group_name_Hall 'I 4 -2'
loop_
_atom_site_label
_atom_site_type_symbol
_atom_site_fract_x
_atom_site_fract_y
_atom_site_fract_z
Sr1 Sr 0.0000 0.0000 0.0000
Nd1 Nd 0.0000 0.0000 0.2811
In1 In 0.0000 0.0000 0.6571
```